## Pr3ZnGa2 (GGA-PBE)

Data for an optimized crystal structure of Pr3ZnGa2.

a = 5.2669 Å, b = 5.2669 Å, c = 12.9198 Å
α = 90.00°, β = 90.00°, γ = 120.00°
Closest atoms and distances in Å follow each position.
Element x y z (fractional)
Pr 0.0000 0.0000 0.2499  5 Ga 3.21-3.23, 3 Zn 3.22
Pr 0.0000 0.0000 0.7501  5 Ga 3.21-3.23, 3 Zn 3.22
Pr 0.3333 0.6667 0.4166  1 Zn 3.22, 7 Ga 3.23-3.27
Pr 0.3333 0.6667 0.9171  4 Ga 3.19-3.22, 4 Zn 3.23-3.24
Pr 0.6667 0.3333 0.0829  4 Ga 3.19-3.22, 4 Zn 3.23-3.24
Pr 0.6667 0.3333 0.5834  1 Zn 3.22, 7 Ga 3.23-3.27
Zn 0.3333 0.6667 0.1675  8 Pr 3.22-3.24
Zn 0.6667 0.3333 0.8325  8 Pr 3.22-3.24
Ga 0.0000 0.0000 0.0000  8 Pr 3.22-3.23
Ga 0.0000 0.0000 0.5000  8 Pr 3.23
Ga 0.3333 0.6667 0.6700  8 Pr 3.19-3.27
Ga 0.6667 0.3333 0.3300  8 Pr 3.19-3.27

Calculated values
**DFT total energy**: -48.92 eV/cell
**Size of the total moment**: 0.00 Bohr magnetons per cell
**Calculated formation energy**: -0.4655 eV per atom



## LaCd3B (GGA-PBE)

Data for an optimized crystal structure of LaCd3B.

a = 4.8158 Å, b = 4.8158 Å, c = 4.8158 Å
α = 90.00°, β = 90.00°, γ = 90.00°
Closest atoms and distances in Å follow each position.
Element x y z (fractional)
La 0.0000 0.0000 0.0000  12 Cd 3.41
Cd 0.0000 0.5000 0.5000  2 B 2.41
Cd 0.5000 0.0000 0.5000  2 B 2.41
Cd 0.5000 0.5000 0.0000  2 B 2.41
B 0.5000 0.5000 0.5000  6 Cd 2.41

Calculated values
**DFT total energy**: -12.77 eV/cell
**Size of the total moment**: 0.00 Bohr magnetons per cell
**Calculated formation energy**: 0.3158 eV per atom



## Ac2Zn2Pd5Pb (GGA-PBE)

Data for an optimized crystal structure of Ac2Zn2Pd5Pb.

a = 10.3148 Å, b = 10.3148 Å, c = 3.9193 Å
α = 90.00°, β = 90.00°, γ = 90.00°
Closest atoms and distances in Å follow each position.
Element x y z (fractional)
Ac 0.1821 0.3179 0.0000  3 Zn 2.99-3.12, 6 Pd 3.28-3.30
Ac 0.3179 0.8179 0.0000  3 Zn 2.99-3.12, 6 Pd 3.28-3.30
Ac 0.6821 0.1821 0.0000  3 Zn 2.99-3.12, 6 Pd 3.28-3.30
Ac 0.8179 0.6821 0.0000  3 Zn 2.99-3.12, 6 Pd 3.28-3.30
Zn 0.1127 0.6127 0.0000  6 Pd 2.56-2.65
Zn 0.3873 0.1127 0.0000  6 Pd 2.56-2.65
Zn 0.6127 0.8873 0.0000  6 Pd 2.56-2.65
Zn 0.8873 0.3873 0.0000  6 Pd 2.56-2.65
Pd 0.0000 0.5000 0.5000  4 Zn 2.56
Pd 0.0652 0.7791 0.5000  2 Zn 2.65, 1 Pd 2.96
Pd 0.2209 0.0652 0.5000  2 Zn 2.65, 1 Pd 2.96
Pd 0.2791 0.5652 0.5000  2 Zn 2.65, 1 Pd 2.96
Pd 0.4348 0.2791 0.5000  2 Zn 2.65, 1 Pd 2.96
Pd 0.5000 0.0000 0.5000  4 Zn 2.56
Pd 0.5652 0.7209 0.5000  2 Zn 2.65, 1 Pd 2.96
Pd 0.7209 0.4348 0.5000  2 Zn 2.65, 1 Pd 2.96
Pd 0.7791 0.9348 0.5000  2 Zn 2.65, 1 Pd 2.96
Pd 0.9348 0.2209 0.5000  2 Zn 2.65, 1 Pd 2.96
Pb 0.0000 0.0000 0.0000  8 Pd 3.08
Pb 0.5000 0.5000 0.0000  8 Pd 3.08

Calculated values
**DFT total energy**: -92.93 eV/cell
**Size of the total moment**: 0.00 Bohr magnetons per cell
**Calculated formation energy**: -0.6029 eV per atom



## CeSc2Si (GGA-PBE)

Data for an optimized crystal structure of CeSc2Si.

a = 4.4756 Å, b = 4.4756 Å, c = 4.2472 Å
α = 90.00°, β = 90.00°, γ = 90.00°
Closest atoms and distances in Å follow each position.
Element x y z (fractional)
Ce 0.0000 0.0000 0.0000  8 Sc 3.09, 4 Si 3.16
Sc 0.0000 0.5000 0.5000  4 Ce 3.09, 4 Si 3.09, 4 Sc 3.16
Sc 0.5000 0.0000 0.5000  4 Ce 3.09, 4 Si 3.09, 4 Sc 3.16
Si 0.5000 0.5000 0.0000  8 Sc 3.09, 4 Ce 3.16

Calculated values
**DFT total energy**: -25.28 eV/cell
**Size of the total moment**: 0.00 Bohr magnetons per cell
**Uncorrected formation energy**: -0.31 eV/atom



## RbH3Pt3 (GGA-PBE)

Data for an optimized crystal structure of RbH3Pt3.

a = 9.2763 Å, b = 9.2763 Å, c = 2.8524 Å
α = 90.00°, β = 90.00°, γ = 120.00°
Closest atoms and distances in Å follow each position.
Element x y z (fractional)
Rb 0.3333 0.6667 0.2500  2 Rb 2.85, 3 H 3.10
Rb 0.6667 0.3333 0.7500  2 Rb 2.85, 3 H 3.10
H 0.0165 0.3668 0.7500  2 Pt 1.76
H 0.3502 0.9835 0.7500  2 Pt 1.76
H 0.3668 0.3502 0.2500  2 Pt 1.76
H 0.6332 0.6498 0.7500  2 Pt 1.76
H 0.6498 0.0165 0.2500  2 Pt 1.76
H 0.9835 0.6332 0.2500  2 Pt 1.76
Pt 0.0274 0.7588 0.7500  2 H 1.76
Pt 0.2412 0.2686 0.7500  2 H 1.76
Pt 0.2686 0.0274 0.2500  2 H 1.76
Pt 0.7314 0.9726 0.7500  2 H 1.76
Pt 0.7588 0.7314 0.2500  2 H 1.76
Pt 0.9726 0.2412 0.2500  2 H 1.76

Calculated values
**DFT total energy**: -58.26 eV/cell
**Size of the total moment**: 0.00 Bohr magnetons per cell



## SrGe2MoAs (GGA-PBE)

Data for an optimized crystal structure of SrGe2MoAs.

a = 5.2362 Å, b = 5.2362 Å, c = 4.7867 Å
α = 90.00°, β = 90.00°, γ = 90.00°
Closest atoms and distances in Å follow each position.
Element x y z (fractional)
Sr 0.0000 0.0000 0.0000  8 Ge 3.55, 4 Mo 3.70
Ge 0.0000 0.5000 0.5000  2 As 2.62
Ge 0.5000 0.0000 0.5000  2 As 2.62
Mo 0.5000 0.5000 0.0000  2 As 2.39
As 0.5000 0.5000 0.5000  2 Mo 2.39, 4 Ge 2.62

Calculated values
**DFT total energy**: -23.92 eV/cell
**Size of the total moment**: 2.44 Bohr magnetons per cell
**Calculated formation energy**: 0.4946 eV per atom